First-principles (PBE+U) data for a relaxed Li4Mn3O7 crystal, as listed in Alexandria via LeMat-Bulk.

Lattice parameters (Å, degrees): 3.003 9.792 9.973 115.83 94.61 95.63
Atoms (fractional coordinates):
1 Li 0.000 0.000 0.000
2 Li 0.026 0.138 0.797
3 Li 0.205 0.425 0.356
4 Li 0.357 0.729 0.943
5 Li 0.500 0.000 0.500
6 Li 0.643 0.271 0.057
7 Li 0.795 0.575 0.644
8 Li 0.974 0.862 0.203
9 Mn 0.167 0.289 0.568
10 Mn 0.278 0.571 0.145
11 Mn 0.411 0.864 0.726
12 Mn 0.589 0.136 0.274
13 Mn 0.722 0.429 0.855
14 Mn 0.833 0.711 0.432
15 O 0.090 0.203 0.192
16 O 0.091 0.086 0.384
17 O 0.151 0.367 0.969
18 O 0.280 0.656 0.544
19 O 0.289 0.492 0.746
20 O 0.396 0.775 0.325
21 O 0.483 0.941 0.121
22 O 0.517 0.059 0.879
23 O 0.604 0.225 0.675
24 O 0.711 0.508 0.254
25 O 0.720 0.344 0.456
26 O 0.849 0.633 0.031
27 O 0.909 0.914 0.616
28 O 0.910 0.797 0.808

As for the excess energy over the best structure of this formula in the dataset: 0.024 eV per atom. Its space group is P-1, No. 2.